Record 1
First-principles (PBE) data for crystalline LiAc4Cd2 at its relaxed geometry, as listed in the Alexandria database.

- Energy of formation: -6 kJ per mole of atoms
- Symmetry: No. 166
- N(E_F): 9.7 states/eV per cell

Unit cell a=5.699 b=5.699 c=9.753 alpha=73.01 beta=73.01 gamma=60.00
Positions (direct):
Li: 0.000 0.000 0.000
Ac: 0.872 0.872 0.384
Ac: 0.128 0.128 0.616
Ac: 0.620 0.620 0.139
Ac: 0.380 0.380 0.861
Cd: 0.746 0.746 0.761
Cd: 0.254 0.254 0.239

---

Record 2
First-principles (PBE) data for crystalline ScFeSi3 at its relaxed geometry, as listed in the Alexandria database.

- Symmetry: No. 221
- Formation energy from raw total energies: 122 meV per atom
- N(E_F): 2.6 states/eV per cell

Unit cell a=4.369 b=4.369 c=4.369 alpha=90.00 beta=90.00 gamma=90.00
Positions (direct):
Sc: 0.500 0.500 0.500
Si: 0.000 0.500 0.000
Si: 0.000 0.000 0.500
Si: 0.500 0.000 0.000
Fe: 0.000 0.000 0.000